Record 1
CeBe3Si2: optimized geometry, PBE.

```
CeBe3Si2
1.0
-2.651 0.685 2.557
0.442 -5.765 4.746
3.893 -0.174 6.828
Si Be Ce
4 6 2
direct
0.192 0.288 0.327
0.519 0.151 0.811
0.481 0.849 0.189
0.808 0.712 0.673
0.963 0.690 0.385
0.414 0.531 0.641
0.684 0.085 0.546
0.316 0.915 0.454
0.586 0.469 0.359
0.037 0.310 0.615
0.147 0.770 0.935
0.853 0.230 0.065
```

=====

Record 2
Ce3Be2Si4: optimized geometry, PBE.

## Properties
ΔE to the lowest computed polymorph = 0 meV per atom

```
Ce3Be2Si4
1.0
3.926 0.000 0.000
-1.963 5.345 -0.967
0.000 0.510 7.981
Ce Be Si
3 2 4
direct
0.335 0.670 0.333
0.000 0.000 0.000
0.665 0.330 0.667
0.610 0.220 0.282
0.390 0.780 0.718
0.939 0.878 0.616
0.284 0.567 0.936
0.716 0.433 0.064
0.061 0.122 0.384
```

=====

Record 3
Ce2BeSi3: optimized geometry, PBE.

## Properties
ΔE to the lowest computed polymorph = 14 meV per atom

```
Ce2BeSi3
1.0
4.250 0.000 0.000
0.000 3.947 0.000
0.000 0.000 6.815
Ce Si Be
2 3 1
direct
0.000 0.000 0.503
0.000 0.500 0.999
0.500 0.000 0.837
0.500 0.500 0.650
0.500 0.000 0.182
0.500 0.500 0.328
```

=====

For the records above, the corresponding total magnetic moment values read 0.04, 1.99, 1.01 μB per formula unit.
For the records above, the corresponding energy values read -4.88, -5.86, -5.95 eV/atom.
For the records above, the corresponding formation energy (no corrections) values read -0.220, -0.640, -0.642 eV per atom.